1.
The following is a PBE-GGA calculation of a relaxed CaAgS crystal, from Alexandria via LeMat-Bulk.

a b c (Å): 4.208 8.617 8.374
angles (deg): 90.00 90.00 90.00
Element x y z (fractional)
Ag1 0.750 0.907 0.054
Ag2 0.250 0.407 0.446
Ag3 0.250 0.093 0.946
Ag4 0.750 0.593 0.554
S1 0.750 0.849 0.364
S2 0.250 0.349 0.136
S3 0.250 0.151 0.636
S4 0.750 0.651 0.864
Ca1 0.750 0.555 0.189
Ca2 0.250 0.055 0.311
Ca3 0.250 0.445 0.811
Ca4 0.750 0.945 0.689

2.
The following is a PBE-GGA calculation of a relaxed CaAgS crystal, from Alexandria via LeMat-Bulk.

a b c (Å): 5.601 4.164 12.200
angles (deg): 90.00 104.20 90.00
Element x y z (fractional)
Ca1 0.291 0.000 0.832
Ca2 0.709 0.000 0.168
Ca3 0.291 0.500 0.332
Ca4 0.709 0.500 0.668
S1 0.202 0.000 0.169
S2 0.798 0.000 0.831
S3 0.202 0.500 0.669
S4 0.798 0.500 0.331
Ag1 0.301 0.000 0.547
Ag2 0.699 0.000 0.453
Ag3 0.301 0.500 0.047
Ag4 0.699 0.500 0.953

3.
The following is a PBE-GGA calculation of a relaxed CaAgS crystal, from Alexandria via LeMat-Bulk.

a b c (Å): 4.077 4.077 9.657
angles (deg): 90.00 90.00 120.00
Element x y z (fractional)
Ca1 0.667 0.333 0.495
Ca2 0.000 0.000 0.155
S1 0.667 0.333 0.002
S2 0.333 0.667 0.338
Ag1 0.000 0.000 0.712
Ag2 0.333 0.667 0.871

4.
The following is a PBE-GGA calculation of a relaxed CaAgS crystal, from Alexandria via LeMat-Bulk.

a b c (Å): 5.104 5.608 13.281
angles (deg): 90.00 111.97 90.00
Element x y z (fractional)
Ca1 0.774 0.000 0.275
Ca2 0.226 0.000 0.725
Ca3 0.774 0.500 0.775
Ca4 0.226 0.500 0.225
S1 0.188 0.000 0.186
S2 0.812 0.000 0.814
S3 0.188 0.500 0.686
S4 0.812 0.500 0.314
Ag1 0.000 0.739 0.000
Ag2 0.000 0.261 0.000
Ag3 0.000 0.239 0.500
Ag4 0.000 0.761 0.500

It turns out 3 is the most stable, with the second structure 8 meV per atom higher.

1.
The following is a PBE-GGA calculation of a relaxed CaAgS crystal, from Alexandria via LeMat-Bulk.

a b c (Å): 6.876 3.876 12.775
angles (deg): 90.00 120.47 90.00
Element x y z (fractional)
Ca1 0.646 0.000 0.761
Ca2 0.646 0.500 0.261
Ca3 0.017 0.000 0.623
Ca4 0.017 0.500 0.123
S1 0.309 0.000 0.127
S2 0.309 0.500 0.627
S3 0.933 0.000 0.258
S4 0.933 0.500 0.758
Ag1 0.388 0.000 0.355
Ag2 0.388 0.500 0.855
Ag3 0.586 0.000 0.030
Ag4 0.586 0.500 0.530

2.
The following is a PBE-GGA calculation of a relaxed CaAgS crystal, from Alexandria via LeMat-Bulk.

a b c (Å): 3.904 3.904 9.001
angles (deg): 90.00 90.00 90.00
Element x y z (fractional)
Ca1 0.000 0.500 0.669
Ca2 0.500 0.000 0.331
S1 0.000 0.500 0.348
S2 0.500 0.000 0.652
Ag1 0.000 0.500 0.055
Ag2 0.500 0.000 0.945

It turns out 2 is the most stable, with the second structure 185 meV per atom higher.

1.
The following is a PBE-GGA calculation of a relaxed CaAg3S crystal, from Alexandria via LeMat-Bulk.

a b c (Å): 5.348 5.348 5.348
angles (deg): 90.00 90.00 90.00
Element x y z (fractional)
Ca1 0.000 0.000 0.000
S1 0.500 0.500 0.500
Ag1 0.000 0.500 0.000
Ag2 0.000 0.000 0.500
Ag3 0.500 0.000 0.000

2.
The following is a PBE-GGA calculation of a relaxed CaAg3S crystal, from Alexandria via LeMat-Bulk.

a b c (Å): 4.978 4.978 4.978
angles (deg): 90.00 90.00 90.00
Element x y z (fractional)
Ca1 0.500 0.500 0.500
S1 0.000 0.000 0.000
Ag1 0.000 0.500 0.000
Ag2 0.000 0.000 0.500
Ag3 0.500 0.000 0.000

It turns out 2 is the most stable, with the second structure 990 meV per atom higher.

1.
The following is a PBE-GGA calculation of a relaxed CaAgS3 crystal, from Alexandria via LeMat-Bulk.

a b c (Å): 4.851 4.851 4.851
angles (deg): 90.00 90.00 90.00
Element x y z (fractional)
Ca1 0.500 0.500 0.500
S1 0.000 0.500 0.000
S2 0.000 0.000 0.500
S3 0.500 0.000 0.000
Ag1 0.000 0.000 0.000

2.
The following is a PBE-GGA calculation of a relaxed CaAgS3 crystal, from Alexandria via LeMat-Bulk.

a b c (Å): 5.290 5.290 5.290
angles (deg): 90.00 90.00 90.00
Each line ends with the local moment (μB).
Element x y z (fractional)
Ca1 0.000 0.000 0.000  -0.01
S1 0.000 0.500 0.000  0.70
S2 0.000 0.000 0.500  0.64
S3 0.500 0.000 0.000  0.55
Ag1 0.500 0.500 0.500  0.01

It turns out 1 is the most stable, with the second structure 510 meV per atom higher.

1.
The following is a PBE-GGA calculation of a relaxed Ca3AgS crystal, from Alexandria via LeMat-Bulk.

a b c (Å): 5.374 5.374 5.374
angles (deg): 90.00 90.00 90.00
Element x y z (fractional)
Ca1 0.000 0.500 0.000
Ca2 0.000 0.000 0.500
Ca3 0.500 0.000 0.000
S1 0.000 0.000 0.000
Ag1 0.500 0.500 0.500

2.
The following is a PBE-GGA calculation of a relaxed Ca3AgS crystal, from Alexandria via LeMat-Bulk.

a b c (Å): 5.590 5.590 5.590
angles (deg): 90.00 90.00 90.00
Element x y z (fractional)
Ca1 0.000 0.500 0.000
Ca2 0.000 0.000 0.500
Ca3 0.500 0.000 0.000
S1 0.500 0.500 0.500
Ag1 0.000 0.000 0.000

It turns out 1 is the most stable, with the second structure 569 meV per atom higher.

1.
The following is a PBE-GGA calculation of a relaxed Ca2Ag2Sb crystal, from Alexandria via LeMat-Bulk.

a b c (Å): 8.516 8.516 3.756
angles (deg): 90.00 90.00 90.00
Element x y z (fractional)
Sb1 0.000 0.000 0.000
Sb2 0.500 0.500 0.000
Ca1 0.332 0.832 0.000
Ca2 0.832 0.668 0.000
Ca3 0.668 0.168 0.000
Ca4 0.168 0.332 0.000
Ag1 0.122 0.622 0.500
Ag2 0.622 0.878 0.500
Ag3 0.878 0.378 0.500
Ag4 0.378 0.122 0.500

2.
The following is a PBE-GGA calculation of a relaxed Ca2Ag2Sb crystal, from Alexandria via LeMat-Bulk.

a b c (Å): 7.619 7.619 4.438
angles (deg): 90.00 90.00 90.00
Element x y z (fractional)
Sb1 0.000 0.000 0.000
Sb2 0.500 0.500 0.000
Ca1 0.179 0.679 0.500
Ca2 0.679 0.821 0.500
Ca3 0.821 0.321 0.500
Ca4 0.321 0.179 0.500
Ag1 0.374 0.874 0.000
Ag2 0.874 0.626 0.000
Ag3 0.626 0.126 0.000
Ag4 0.126 0.374 0.000

3.
The following is a PBE-GGA calculation of a relaxed Ca2Ag2Sb crystal, from Alexandria via LeMat-Bulk.

a b c (Å): 3.944 3.944 9.100
angles (deg): 77.49 77.49 90.00
Element x y z (fractional)
Sb1 0.000 0.000 0.000
Ca1 0.398 0.398 0.204
Ca2 0.602 0.602 0.796
Ag1 0.750 0.250 0.500
Ag2 0.250 0.750 0.500

4.
The following is a PBE-GGA calculation of a relaxed Ca2Ag2Sb crystal, from Alexandria via LeMat-Bulk.

a b c (Å): 5.821 5.821 5.896
angles (deg): 60.42 60.42 90.00
Element x y z (fractional)
Sb1 0.000 0.000 0.000
Ca1 0.750 0.250 0.500
Ca2 0.250 0.750 0.500
Ag1 0.345 0.345 0.310
Ag2 0.655 0.655 0.690

It turns out 2 is the most stable, with the second structure 49 meV per atom higher.